Here is crystalline RbZnCo at its relaxed geometry from OQMD. Energies are from GGA-PBE.

It has space group F-43m (No. 216), with a = 6.9493 Å, b = 6.9493 Å, c = 6.9493 Å, α = 90.00°, β = 90.00° and γ = 90.00°. The asymmetric unit holds Rb at (0.0000, 0.0000, 0.0000), Zn at (0.0000, 0.0000, 0.5000) and Co at (0.2500, 0.2500, 0.2500).

Its total energy is -2.017 eV/atom. As for the total magnetization: 1.6 μB/f.u.

Here is crystalline PmGePb at its relaxed geometry from OQMD. Energies are from GGA-PBE.

It has space group F-43m (No. 216), with a = 7.1128 Å, b = 7.1128 Å, c = 7.1128 Å, α = 90.00°, β = 90.00° and γ = 90.00°. The asymmetric unit holds Pm at (0.0000, 0.0000, 0.0000), Ge at (0.2500, 0.2500, 0.7500) and Pb at (0.0000, 0.0000, 0.5000).

Its total energy is -4.596 eV/atom. As for the total magnetization: 0.0 μB/f.u.

Here is crystalline HgIrO3 at its relaxed geometry from OQMD. Energies are from GGA-PBE.

It has space group P4mm (No. 99), with a = 3.9245 Å, b = 3.9245 Å, c = 3.9882 Å, α = 90.00°, β = 90.00° and γ = 90.00°. The asymmetric unit holds Hg at (0.0000, 0.0000, 0.0000), Ir at (0.5000, 0.5000, 0.5076), O at (0.0000, 0.5000, 0.5610) and O at (0.5000, 0.5000, 0.0200).

Its total energy is -4.990 eV/atom. As for the total magnetization: 0.1 μB/f.u.

Here is crystalline Li2Si3Ir at its relaxed geometry from OQMD. Energies are from GGA-PBE.

It has space group P6_3/mmc (No. 194), with a = 4.9929 Å, b = 4.9929 Å, c = 7.8977 Å, α = 90.00°, β = 90.00° and γ = 120.00°. The asymmetric unit holds Li at (0.3333, 0.6667, 0.0587), Si at (0.1716, 0.3432, 0.7500) and Ir at (0.0000, 0.0000, 0.0000).

Its total energy is -5.308 eV/atom. As for the total magnetization: 0.0 μB/f.u.

Here is crystalline Ba2HfFeS6 at its relaxed geometry from OQMD. Energies are from GGA-PBE.

It has space group Fm-3m (No. 225), with a = 9.7167 Å, b = 9.7167 Å, c = 9.7167 Å, α = 90.00°, β = 90.00° and γ = 90.00°. The asymmetric unit holds Ba at (0.2500, 0.2500, 0.2500), Hf at (0.0000, 0.0000, 0.0000), Fe at (0.0000, 0.0000, 0.5000) and S at (0.0000, 0.0000, 0.2567).

Its total energy is -5.993 eV/atom. As for the total magnetization: 4.0 μB/f.u.

Here is crystalline PrBi2Pd2 at its relaxed geometry from OQMD. Energies are from GGA-PBE.

It has space group P4/nmm (No. 129, origin choice 2), with a = 4.7823 Å, b = 4.7823 Å, c = 10.8841 Å, α = 90.00°, β = 90.00° and γ = 90.00°. The asymmetric unit holds Pr at (0.2500, 0.2500, 0.2351), Bi at (0.2500, 0.2500, 0.8740), Bi at (0.2500, 0.7500, 0.5000), Pd at (0.2500, 0.2500, 0.6313) and Pd at (0.2500, 0.7500, 0.0000).

Its total energy is -5.238 eV/atom. As for the total magnetization: 0.0 μB/f.u.